Here is a relaxed UTlRhS4 crystal from the Alexandria database. Energies are from GGA-PBE.

Results
- DFT total energy: -6.088 eV/atom
- Calculated density: 7.01 g/cm³

Cell lengths 6.5419, 5.7525, 8.9096 Å; angles 90.00, 107.95, 90.00 degrees
With the nearest neighbours (Å) after each atom.
Sites, in units of the cell vectors:
U 0.2455 0.2500 0.4504  6 S 2.58-2.80
U 0.7545 0.7500 0.5496  6 S 2.58-2.80
Tl 0.2270 0.2500 0.9490  6 S 3.12-3.40
Tl 0.7730 0.7500 0.0510  6 S 3.12-3.40
Rh 0.2775 0.7500 0.6577  4 S 2.27-2.36
Rh 0.7225 0.2500 0.3423  4 S 2.27-2.36
S 0.0490 0.7500 0.4059  1 Rh 2.28
S 0.0508 0.7500 0.8186  1 Rh 2.36, 1 U 2.58
S 0.4573 0.5195 0.2995  1 Rh 2.27
S 0.4573 0.9805 0.2995  1 Rh 2.27
S 0.5427 0.0195 0.7005  1 Rh 2.27
S 0.5427 0.4805 0.7005  1 Rh 2.27
S 0.9492 0.2500 0.1814  1 Rh 2.36, 1 U 2.58
S 0.9510 0.2500 0.5941  1 Rh 2.28